Record 1
Here is a relaxed Ac2Cu4Si3Au crystal from the Alexandria database. Energies are from PBE-GGA.

abc: 4.358 4.358 9.979
angles: 90.00 90.00 90.00
Positions (direct):
Ac 0.000 0.500 0.243
Ac 0.500 0.000 0.757
Cu 0.000 0.000 0.000
Cu 0.000 0.500 0.636
Cu 0.500 0.000 0.364
Cu 0.500 0.500 0.000
Si 0.000 0.500 0.878
Si 0.500 0.000 0.122
Si 0.500 0.500 0.500
Au 0.000 0.000 0.500

Summary:
magnetic moment	0.0	μB/f.u.
uncorrected formation energy	-0.437	eV/atom
calculated density	8.668	g/cm³

Record 2
Here is a relaxed AcSmCuAu crystal from the Alexandria database. Energies are from PBE-GGA.

abc: 4.769 4.097 11.096
angles: 90.00 90.00 90.00
Positions (direct):
Ac 0.000 0.000 0.000
Ac 0.000 0.500 0.500
Sm 0.500 0.000 0.721
Sm 0.500 0.500 0.221
Cu 0.000 0.000 0.280
Cu 0.000 0.500 0.780
Au 0.500 0.000 0.428
Au 0.500 0.500 0.928

Summary:
magnetic moment	0.0	μB/f.u.
ΔH_f (0 K)	-1.87	eV/f.u.
calculated density	9.771	g/cm³

Record 3
Here is a relaxed AcSmCuAu crystal from the Alexandria database. Energies are from PBE-GGA.

abc: 7.507 7.507 7.507
angles: 90.00 90.00 90.00
Positions (direct):
Ac 0.000 0.000 0.000
Ac 0.000 0.500 0.500
Ac 0.500 0.000 0.500
Ac 0.500 0.500 0.000
Sm 0.000 0.000 0.500
Sm 0.000 0.500 0.000
Sm 0.500 0.000 0.000
Sm 0.500 0.500 0.500
Cu 0.250 0.250 0.250
Cu 0.250 0.750 0.750
Cu 0.750 0.250 0.750
Cu 0.750 0.750 0.250
Au 0.250 0.250 0.750
Au 0.250 0.750 0.250
Au 0.750 0.250 0.250
Au 0.750 0.750 0.750

Summary:
magnetic moment	0.0	μB/f.u.
ΔH_f (0 K)	-1.66	eV/f.u.
calculated density	10.016	g/cm³

Record 4
Here is a relaxed Ac2CuSn3Au4 crystal from the Alexandria database. Energies are from PBE-GGA.

abc: 4.781 4.781 10.821
angles: 90.00 90.00 90.00
Positions (direct):
Ac 0.000 0.500 0.250
Ac 0.500 0.000 0.750
Cu 0.000 0.000 0.500
Sn 0.000 0.500 0.866
Sn 0.500 0.000 0.134
Sn 0.500 0.500 0.500
Au 0.000 0.000 0.000
Au 0.000 0.500 0.616
Au 0.500 0.000 0.384
Au 0.500 0.500 0.000

Summary:
magnetic moment	0.0	μB/f.u.
ΔH_f (0 K)	-5.73	eV/f.u.
calculated density	11.156	g/cm³

Record 5
Here is a relaxed AcCuSnAu crystal from the Alexandria database. Energies are from PBE-GGA.

abc: 7.288 7.288 7.288
angles: 90.00 90.00 90.00
Positions (direct):
Ac 0.000 0.000 0.000
Ac 0.000 0.500 0.500
Ac 0.500 0.000 0.500
Ac 0.500 0.500 0.000
Cu 0.250 0.250 0.250
Cu 0.250 0.750 0.750
Cu 0.750 0.250 0.750
Cu 0.750 0.750 0.250
Sn 0.000 0.000 0.500
Sn 0.000 0.500 0.000
Sn 0.500 0.000 0.000
Sn 0.500 0.500 0.500
Au 0.250 0.250 0.750
Au 0.250 0.750 0.250
Au 0.750 0.250 0.250
Au 0.750 0.750 0.750

Summary:
magnetic moment	0.0	μB/f.u.
ΔH_f (0 K)	-1.78	eV/f.u.
calculated density	10.401	g/cm³

Record 6
Here is a relaxed Ac2Cu4Sn3Au crystal from the Alexandria database. Energies are from PBE-GGA.

abc: 4.633 4.633 10.412
angles: 90.00 90.00 90.00
Positions (direct):
Ac 0.000 0.500 0.245
Ac 0.500 0.000 0.755
Cu 0.000 0.000 0.000
Cu 0.000 0.500 0.624
Cu 0.500 0.000 0.376
Cu 0.500 0.500 0.000
Sn 0.000 0.500 0.873
Sn 0.500 0.000 0.127
Sn 0.500 0.500 0.500
Au 0.000 0.000 0.500

Summary:
magnetic moment	0.0	μB/f.u.
ΔH_f (0 K)	-4.42	eV/f.u.
calculated density	9.369	g/cm³